Entry 1:
Entry from the Alexandria database: a relaxed TbMgIrPd crystal (PBE).

```
TbMgIrPd
1.0
-2.2159 0.7446 4.1002
2.0582 -1.2569 4.0571
1.5803 3.3109 2.9693
Tb Pd Ir Mg
1 1 1 1
Direct
0.2500 0.2500 0.2500
0.5000 0.5000 0.5000
0.0000 0.0000 0.0000
0.7500 0.7500 0.7500
```

Output
Uncorrected energy, eV/atom: -5.76
N(E_F), states/eV/f.u.: 1.68
Calculated volume, Å³/cell: 74.3

Entry 2:
Entry from the Alexandria database: a relaxed Li2AlB2Pd5 crystal (PBE).

```
Li2AlB2Pd5
1.0
2.9844 0.0000 0.0000
0.0000 9.4209 0.0000
0.0000 0.0000 9.4209
B Li Pd Al
4 4 10 2
Direct
0.0000 0.3744 0.1256
0.0000 0.8744 0.3744
0.0000 0.6256 0.8744
0.0000 0.1256 0.6256
0.0000 0.6743 0.1743
0.0000 0.1743 0.3257
0.0000 0.3257 0.8257
0.0000 0.8257 0.6743
0.5000 0.0739 0.7857
0.5000 0.5739 0.7143
0.5000 0.2857 0.5739
0.5000 0.4261 0.2857
0.5000 0.7143 0.4261
0.5000 0.5000 0.0000
0.5000 0.7857 0.9261
0.5000 0.9261 0.2143
0.5000 0.2143 0.0739
0.5000 0.0000 0.5000
0.0000 0.5000 0.5000
0.0000 0.0000 0.0000
```

Output
Uncorrected energy, eV/atom: -5.18
N(E_F), states/eV/f.u.: 2.80
Calculated volume, Å³/cell: 264.9

Please write out number 2 again, unchanged.
Entry from the Alexandria database: a relaxed Li2AlB2Pd5 crystal (PBE).

```
Li2AlB2Pd5
1.0
2.9844 0.0000 0.0000
0.0000 9.4209 0.0000
0.0000 0.0000 9.4209
B Li Pd Al
4 4 10 2
Direct
0.0000 0.3744 0.1256
0.0000 0.8744 0.3744
0.0000 0.6256 0.8744
0.0000 0.1256 0.6256
0.0000 0.6743 0.1743
0.0000 0.1743 0.3257
0.0000 0.3257 0.8257
0.0000 0.8257 0.6743
0.5000 0.0739 0.7857
0.5000 0.5739 0.7143
0.5000 0.2857 0.5739
0.5000 0.4261 0.2857
0.5000 0.7143 0.4261
0.5000 0.5000 0.0000
0.5000 0.7857 0.9261
0.5000 0.9261 0.2143
0.5000 0.2143 0.0739
0.5000 0.0000 0.5000
0.0000 0.5000 0.5000
0.0000 0.0000 0.0000
```

Output
Uncorrected energy, eV/atom: -5.18
N(E_F), states/eV/f.u.: 2.80
Calculated volume, Å³/cell: 264.9

Which formula does entry 2 have?
Li2AlB2Pd5

Copy entry 1 word for word.
Entry from the Alexandria database: a relaxed TbMgIrPd crystal (PBE).

```
TbMgIrPd
1.0
-2.2159 0.7446 4.1002
2.0582 -1.2569 4.0571
1.5803 3.3109 2.9693
Tb Pd Ir Mg
1 1 1 1
Direct
0.2500 0.2500 0.2500
0.5000 0.5000 0.5000
0.0000 0.0000 0.0000
0.7500 0.7500 0.7500
```

Output
Uncorrected energy, eV/atom: -5.76
N(E_F), states/eV/f.u.: 1.68
Calculated volume, Å³/cell: 74.3